This record from Alexandria describes LiCa2Y at its PBEsol-relaxed geometry. The functional is SCAN.

a = 3.7835 Å, b = 5.8744 Å, c = 11.7340 Å
α = 90.00°, β = 90.00°, γ = 90.00°
With the nearest neighbours (Å) after each atom.
Space group Imm2 (No. 44)
Symmetry-distinct sites (fractional):
Li 0.0000 0.0000 0.0000 x2  2 Y 3.22, 6 Ca 3.26-3.49
Ca 0.0000 0.0000 0.4994 x2  4 Li 3.49, 4 Ca 3.74-3.78, 2 Y 3.77
Ca 0.0000 0.5000 0.2742 x2  2 Li 3.26, 4 Y 3.55
Y 0.0000 0.5000 0.7219 x2  2 Li 3.22, 4 Ca 3.55

Calculated values
Offset from the most stable computed form (eV/atom): 0.037
DOS at the Fermi energy (states/eV/atom): 0.9779